1.
A plane-wave DFT calculation with GGA-PBE was carried out for Na2LiPmF8 after structural relaxation.

```
data_Na2LiPmF8
_cell_length_a 4.080
_cell_length_b 5.689
_cell_length_c 7.060
_cell_angle_alpha 78.71
_cell_angle_beta 86.43
_cell_angle_gamma 92.39
_symmetry_space_group_name_H-M 'P 1'
_symmetry_Int_Tables_number 1
_symmetry_space_group_name_Hall 'P 1'
loop_
_atom_site_label
_atom_site_fract_x
_atom_site_fract_y
_atom_site_fract_z
Na1 0.522 0.419 0.750
Na2 0.478 0.581 0.250
Li1 0.000 0.000 0.000
Pm1 0.000 0.000 0.500
F1 0.978 0.782 0.255
F2 0.581 0.893 0.940
F3 0.085 0.288 0.199
F4 0.022 0.218 0.745
F5 0.419 0.107 0.060
F6 0.915 0.712 0.801
F7 0.467 0.767 0.526
F8 0.533 0.233 0.474
```

Results
M_tot: 0.00 μB/f.u.
Symmetry: P-1
Crystal system: triclinic
Formation energy (no corrections): -2.73 eV/atom

***

2.
A plane-wave DFT calculation with GGA-PBE was carried out for RhAuBr2 after structural relaxation.

```
data_RhAuBr2
_cell_length_a 8.061
_cell_length_b 8.061
_cell_length_c 8.061
_cell_angle_alpha 25.84
_cell_angle_beta 25.84
_cell_angle_gamma 25.84
_symmetry_space_group_name_H-M 'P 1'
_symmetry_Int_Tables_number 1
_symmetry_space_group_name_Hall 'P 1'
loop_
_atom_site_label
_atom_site_fract_x
_atom_site_fract_y
_atom_site_fract_z
Rh1 0.250 0.250 0.250
Au1 0.750 0.750 0.750
Br1 0.982 0.982 0.982
Br2 0.518 0.518 0.518
```

Results
M_tot: 0.00 μB/f.u.
Symmetry: R-3m
Relative energy among the computed polymorphs: 250 meV per atom
Crystal system: trigonal
Formation energy (no corrections): 0.28 eV/atom
DOS at the Fermi energy: 0.40 states/eV/atom

***

3.
A plane-wave DFT calculation with GGA-PBE was carried out for LiHoAgBi after structural relaxation.

```
data_LiHoAgBi
_cell_length_a 5.116
_cell_length_b 5.116
_cell_length_c 5.116
_cell_angle_alpha 60.00
_cell_angle_beta 60.00
_cell_angle_gamma 60.00
_symmetry_space_group_name_H-M 'P 1'
_symmetry_Int_Tables_number 1
_symmetry_space_group_name_Hall 'P 1'
loop_
_atom_site_label
_atom_site_fract_x
_atom_site_fract_y
_atom_site_fract_z
Li1 0.500 0.500 0.500
Bi1 0.750 0.750 0.750
Ag1 0.250 0.250 0.250
Ho1 0.000 0.000 0.000
```

Results
M_tot: 0.00 μB/f.u.
Symmetry: F-43m
ΔE_f: -0.42 eV/atom
Crystal system: cubic
DOS at the Fermi energy: 0.36 states/eV/atom

***

4.
A plane-wave DFT calculation with GGA-PBE was carried out for V2NiRu4 after structural relaxation.

```
data_V2NiRu4
_cell_length_a 9.168
_cell_length_b 4.855
_cell_length_c 4.898
_cell_angle_alpha 114.37
_cell_angle_beta 90.00
_cell_angle_gamma 90.00
_symmetry_space_group_name_H-M 'P 1'
_symmetry_Int_Tables_number 1
_symmetry_space_group_name_Hall 'P 1'
loop_
_atom_site_label
_atom_site_fract_x
_atom_site_fract_y
_atom_site_fract_z
V1 0.969 0.644 0.323
V2 0.031 0.356 0.677
V3 0.469 0.856 0.677
V4 0.531 0.144 0.323
Ni1 0.000 0.000 0.000
Ni2 0.500 0.500 0.000
Ru1 0.785 0.651 0.898
Ru2 0.686 0.659 0.403
Ru3 0.814 0.159 0.403
Ru4 0.715 0.151 0.898
Ru5 0.285 0.849 0.102
Ru6 0.186 0.841 0.597
Ru7 0.314 0.341 0.597
Ru8 0.215 0.349 0.102
```

Results
M_tot: 0.00 μB/f.u.
Symmetry: P2_1/c
ΔE_f: 0.10 eV/atom
Crystal system: monoclinic
DOS at the Fermi energy: 1.05 states/eV/atom